# 1
Below is a geometry-optimized Mn3Ni2P6WO24 structure, with properties calculated at the GGA-PBEsol level.

Unit cell a=8.5813 b=8.5813 c=20.3661 alpha=90.00 beta=90.00 gamma=120.00
Last column: nearest neighbours and their distance in Å.
Space group R3 (No. 146, hexagonal axes)
Symmetry-distinct sites (fractional):
Mn: 0.0000 0.0000 0.0000 (multiplicity 3)  6 O 1.90-2.00
Mn: 0.0000 0.0000 0.2178 (multiplicity 3)  6 O 1.97-2.09
Mn: 0.0000 0.0000 0.5003 (multiplicity 3)  6 O 1.93-2.02
Ni: 0.0000 0.0000 0.3595 (multiplicity 3)  6 O 2.09-2.10
Ni: 0.0000 0.0000 0.8616 (multiplicity 3)  6 O 2.10-2.27
P: 0.9998 0.2974 0.6066 (multiplicity 9)  4 O 1.51-1.59
P: 0.0097 0.7152 0.1077 (multiplicity 9)  4 O 1.50-1.62
W: 0.0000 0.0000 0.7189 (multiplicity 3)  6 O 1.89-1.94
O: 0.0003 0.7994 0.1711 (multiplicity 9)  1 P 1.50
O: 0.0063 0.8270 0.7785 (multiplicity 9)  1 P 1.62
O: 0.0177 0.1921 0.6677 (multiplicity 9)  1 P 1.59
O: 0.0286 0.1901 0.2883 (multiplicity 9)  1 P 1.54
O: 0.1380 0.4686 0.2125 (multiplicity 9)  1 P 1.51
O: 0.1428 0.6730 0.7122 (multiplicity 9)  1 P 1.52
O: 0.1660 0.4877 0.6010 (multiplicity 9)  1 P 1.54
O: 0.1729 0.6871 0.0989 (multiplicity 9)  1 P 1.55

Uncorrected formation energy = -1.842 eV per atom
Magnetization = 15.8 μB/f.u.



# 2
Below is a geometry-optimized Sc2MnNiO6 structure, with properties calculated at the GGA-PBEsol level.

Unit cell a=4.9528 b=5.3337 c=8.7201 alpha=90.00 beta=123.42 gamma=90.00
Last column: nearest neighbours and their distance in Å.
Space group P2_1/c (No. 14)
Symmetry-distinct sites (fractional):
Sc: 0.2174 0.0799 0.2463 (multiplicity 4)  5 O 2.07-2.28
Mn: 0.5000 0.0000 0.0000 (multiplicity 2)  6 O 1.88-1.91
Ni: 0.0000 0.0000 0.5000 (multiplicity 2)  6 O 1.98-2.03
O: 0.1276 0.1839 0.9371 (multiplicity 4)  1 Mn 1.88, 1 Ni 1.98, 1 Sc 2.11
O: 0.2511 0.7002 0.9275 (multiplicity 4)  1 Mn 1.90, 1 Ni 1.99, 1 Sc 2.11
O: 0.3948 0.0551 0.7570 (multiplicity 4)  1 Mn 1.91, 1 Ni 2.03, 2 Sc 2.07-2.12

Uncorrected formation energy = -2.427 eV per atom
Magnetization = 5.0 μB/f.u.



# 3
Below is a geometry-optimized Ti2MnNiO6 structure, with properties calculated at the GGA-PBEsol level.

Unit cell a=5.0366 b=5.0366 c=13.8315 alpha=90.00 beta=90.00 gamma=120.00
Last column: nearest neighbours and their distance in Å.
Space group R3 (No. 146, hexagonal axes)
Symmetry-distinct sites (fractional):
Ti: 0.0000 0.0000 0.0000 (multiplicity 3)  6 O 1.89-2.09
Ti: 0.0000 0.0000 0.2914 (multiplicity 3)  6 O 1.89-2.08
Mn: 0.0000 0.0000 0.4994 (multiplicity 3)  6 O 2.04-2.16
Ni: 0.0000 0.0000 0.7954 (multiplicity 3)  6 O 2.03-2.08
O: 0.0194 0.6464 0.5636 (multiplicity 9)  2 Ti 1.89-2.09, 1 Mn 2.04, 1 Ni 2.08
O: 0.0283 0.3526 0.0575 (multiplicity 9)  2 Ti 1.89-2.08, 1 Ni 2.03

Uncorrected formation energy = -2.221 eV per atom
Magnetization = 6.8 μB/f.u.



# 4
Below is a geometry-optimized Mn2V3NiO8 structure, with properties calculated at the GGA-PBEsol level.

Unit cell a=5.7869 b=5.7869 c=14.9578 alpha=90.00 beta=90.00 gamma=120.00
Last column: nearest neighbours and their distance in Å.
Space group R-3m (No. 166, hexagonal axes)
Symmetry-distinct sites (fractional):
Mn: 0.0000 0.0000 0.1276 (multiplicity 6)  4 O 1.97-1.98
V: 0.0000 0.5000 0.0000 (multiplicity 9)  6 O 1.96-2.00
Ni: 0.0000 0.0000 0.5000 (multiplicity 3)  6 O 2.07
O: 0.0000 0.0000 0.2597 (multiplicity 6)  1 Mn 1.98, 3 V 2.00
O: 0.0261 0.5130 0.2587 (multiplicity 18)  2 V 1.96, 1 Mn 1.97, 1 Ni 2.07

Uncorrected formation energy = -1.803 eV per atom
Magnetization = 7.0 μB/f.u.



# 5
Below is a geometry-optimized MnV4NiO12 structure, with properties calculated at the GGA-PBEsol level.

Unit cell a=9.8593 b=8.8563 c=5.7370 alpha=90.00 beta=110.87 gamma=90.00
Last column: nearest neighbours and their distance in Å.
Space group C2 (No. 5)
Symmetry-distinct sites (fractional):
Mn: 0.0000 0.0000 0.0000 (multiplicity 2)  6 O 1.98-2.15
V: 0.2018 0.4897 0.4929 (multiplicity 4)  4 O 1.66-1.77
V: 0.2045 0.6755 0.9987 (multiplicity 4)  4 O 1.67-1.76
Ni: 0.0000 0.1652 0.5000 (multiplicity 2)  6 O 1.96-2.06
O: 0.1107 0.1610 0.8793 (multiplicity 4)  1 V 1.71
O: 0.1133 0.0011 0.3964 (multiplicity 4)  1 V 1.71
O: 0.1362 0.5696 0.1922 (multiplicity 4)  2 V 1.76
O: 0.1422 0.3134 0.4784 (multiplicity 4)  1 V 1.66
O: 0.1419 0.5985 0.6964 (multiplicity 4)  2 V 1.76-1.77
O: 0.1487 0.8541 0.9852 (multiplicity 4)  1 V 1.67

Uncorrected formation energy = -2.039 eV per atom
Magnetization = 6.9 μB/f.u.



# 6
Below is a geometry-optimized Y4Mn3NiO12 structure, with properties calculated at the GGA-PBEsol level.

Unit cell a=5.1851 b=5.5515 c=7.4359 alpha=90.24 beta=90.37 gamma=90.00
Last column: nearest neighbours and their distance in Å.
Space group P-1 (No. 2)
Symmetry-distinct sites (fractional):
Y: 0.0190 0.4225 0.2437 (multiplicity 2)  6 O 2.24-2.45
Y: 0.4789 0.9284 0.2447 (multiplicity 2)  6 O 2.23-2.46
Mn: 0.0000 0.0000 0.5000 (multiplicity 1)  6 O 1.89-2.00
Mn: 0.5000 0.5000 0.0000 (multiplicity 1)  6 O 1.91-1.94
Mn: 0.5000 0.5000 0.5000 (multiplicity 1)  6 O 1.95-2.01
Ni: 0.0000 0.0000 0.0000 (multiplicity 1)  6 O 2.00-2.06
O: 0.1057 0.9687 0.7432 (multiplicity 2)  1 Mn 1.89, 1 Ni 2.00
O: 0.1946 0.6972 0.4439 (multiplicity 2)  2 Mn 1.97-2.00
O: 0.1983 0.6856 0.0494 (multiplicity 2)  1 Mn 1.91, 1 Ni 2.06
O: 0.3034 0.1955 0.4450 (multiplicity 2)  2 Mn 1.96-2.01
O: 0.3191 0.2049 0.0509 (multiplicity 2)  1 Mn 1.93, 1 Ni 2.04
O: 0.3963 0.4671 0.7501 (multiplicity 2)  2 Mn 1.94-1.95

Uncorrected formation energy = -2.599 eV per atom
Magnetization = 12.2 μB/f.u.



# 7
Below is a geometry-optimized Mn4Zn3Ni2O12 structure, with properties calculated at the GGA-PBEsol level.

Unit cell a=8.1895 b=8.2241 c=12.8814 alpha=90.00 beta=107.40 gamma=90.00
Last column: nearest neighbours and their distance in Å.
Space group C2/c (No. 15)
Symmetry-distinct sites (fractional):
Mn: 0.0000 0.0000 0.0000 (multiplicity 4)  6 O 1.91-1.96
Mn: 0.0814 0.2457 0.1651 (multiplicity 8)  6 O 1.88-1.96
Mn: 0.2500 0.2500 0.0000 (multiplicity 4)  6 O 1.92-1.97
Zn: 0.0000 0.1289 0.7500 (multiplicity 4)  4 O 1.94-1.96
Zn: 0.1672 0.3813 0.5859 (multiplicity 8)  4 O 1.91-1.98
Ni: 0.1675 0.4947 0.3327 (multiplicity 8)  6 O 1.99-2.05
O: 0.0131 0.2376 0.0059 (multiplicity 8)  3 Mn 1.96-1.97, 1 Zn 1.98
O: 0.0761 0.4746 0.1709 (multiplicity 8)  1 Mn 1.88, 1 Zn 1.91, 2 Ni 1.99-2.00
O: 0.0807 0.0126 0.1552 (multiplicity 8)  2 Mn 1.91-1.92, 1 Zn 1.94, 1 Ni 2.03
O: 0.1473 0.2479 0.3216 (multiplicity 8)  2 Mn 1.92-1.93, 1 Zn 1.94, 1 Ni 2.04
O: 0.1882 0.2572 0.8433 (multiplicity 8)  2 Mn 1.92-1.93, 1 Zn 1.96, 1 Ni 2.05
O: 0.2349 0.0168 0.0034 (multiplicity 8)  2 Mn 1.92, 1 Zn 1.94, 1 Ni 2.03

Uncorrected formation energy = -1.415 eV per atom
Magnetization = 14.0 μB/f.u.



# 8
Below is a geometry-optimized MnNi2Os structure, with properties calculated at the GGA-PBEsol level.

Unit cell a=3.5828 b=3.5828 c=7.0966 alpha=90.00 beta=90.00 gamma=90.00
Last column: nearest neighbours and their distance in Å.
Space group I-4m2 (No. 119)
Symmetry-distinct sites (fractional):
Mn: 0.0000 0.0000 0.0000 (multiplicity 2)  8 Ni 2.52-2.53, 4 Os 2.52
Ni: 0.0000 0.0000 0.5000 (multiplicity 2)  4 Os 2.52, 4 Ni 2.52, 4 Mn 2.53
Ni: 0.0000 0.5000 0.7500 (multiplicity 2)  4 Ni 2.52, 4 Mn 2.52, 4 Os 2.53
Os: 0.0000 0.5000 0.2500 (multiplicity 2)  4 Mn 2.52, 8 Ni 2.52-2.53

ΔE_f = 0.038 eV/atom
Relative energy among the computed polymorphs = 0.000 eV per formula unit
Magnetization = 1.2 μB/f.u.



It is found that the energy values, taken in the order of the records, are -7.846 -8.489 -8.627 -8.701 -8.563 -8.885 -7.087 -8.535 eV/atom.